PuZnAgSb | PBE-GGA | relaxed

Structure (POSCAR):
```
PuZnAgSb
1.0
0.000 3.560 3.560
3.560 0.000 3.560
3.560 3.560 0.000
Pu Zn Ag Sb
1 1 1 1
direct
0.000 0.000 0.000
0.250 0.250 0.250
0.500 0.500 0.500
0.750 0.750 0.750
```

Values from the calculation:
Its space-group type is No. 216. Its formation energy (no corrections) is -0.65 eV/f.u. The calculation puts the total energy at -5.81 eV per atom.

---

PuSc5Ag4 | PBE-GGA | relaxed

Structure (POSCAR):
```
PuSc5Ag4
1.0
3.372 0.000 0.000
0.000 3.372 0.000
0.000 0.000 18.671
Pu Sc Ag
1 5 4
direct
0.000 0.000 0.000
0.500 0.500 0.121
0.500 0.500 0.311
0.500 0.500 0.500
0.500 0.500 0.689
0.500 0.500 0.879
0.000 0.000 0.217
0.000 0.000 0.406
0.000 0.000 0.594
0.000 0.000 0.783
```

Values from the calculation:
The value obtained for the formation energy from the elements is -0.19 eV per atom. Its space-group type is No. 123. The calculation puts the total energy at -5.93 eV per atom.

---

PuScAg | PBE-GGA | relaxed

Structure (POSCAR):
```
PuScAg
1.0
-1.601 1.601 6.778
1.601 -1.601 6.778
1.601 1.601 -6.778
Pu Sc Ag
1 1 1
direct
0.000 0.000 0.000
0.314 0.314 0.000
0.673 0.673 0.000
```

Values from the calculation:
The value obtained for the formation energy from the elements is 0.01 eV per atom. Its space-group type is No. 107. The energy above the most stable polymorph in this dataset comes out at 0.0 meV/atom. The calculation puts the total energy at -7.83 eV per atom.

---

PuSc4Ag | PBE-GGA | relaxed

Structure (POSCAR):
```
PuSc4Ag
1.0
3.366 0.000 0.000
0.000 3.366 0.000
0.000 0.000 12.356
Pu Sc Ag
1 4 1
direct
0.000 0.000 0.000
0.000 0.000 0.356
0.000 0.000 0.644
0.500 0.500 0.179
0.500 0.500 0.821
0.500 0.500 0.500
```

Values from the calculation:
The value obtained for the formation energy from the elements is -0.02 eV per atom. Its space-group type is No. 123. The calculation puts the total energy at -7.11 eV per atom.

---

PuScAg2 | PBE-GGA | relaxed

Structure (POSCAR):
```
PuScAg2
1.0
0.000 3.574 3.574
3.574 0.000 3.574
3.574 3.574 0.000
Pu Sc Ag
1 1 2
direct
0.000 0.000 0.000
0.500 0.500 0.500
0.250 0.250 0.250
0.750 0.750 0.750
```

Values from the calculation:
The value obtained for the formation energy from the elements is 0.01 eV per atom. Its space-group type is No. 225. The energy above the most stable polymorph in this dataset comes out at 94.0 meV/atom. The calculation puts the total energy at -6.59 eV per atom.

---

PuScAg2 | PBE-GGA | relaxed

Structure (POSCAR):
```
PuScAg2
1.0
5.319 0.000 0.000
0.000 5.319 0.000
0.000 0.000 3.151
Pu Sc Ag
1 1 2
direct
0.000 0.000 0.000
0.500 0.500 0.000
0.000 0.500 0.500
0.500 0.000 0.500
```

Values from the calculation:
The value obtained for the formation energy from the elements is -0.04 eV per atom. Its space-group type is No. 123. The energy above the most stable polymorph in this dataset comes out at 45.2 meV/atom. The calculation puts the total energy at -6.63 eV per atom.

---

PuScAg2 | PBE-GGA | relaxed

Structure (POSCAR):
```
PuScAg2
1.0
3.328 0.000 0.000
0.000 3.328 0.000
0.000 0.000 7.921
Pu Sc Ag
1 1 2
direct
0.000 0.000 0.000
0.000 0.000 0.500
0.500 0.500 0.282
0.500 0.500 0.718
```

Values from the calculation:
The value obtained for the formation energy from the elements is -0.09 eV per atom. Its space-group type is No. 123. The energy above the most stable polymorph in this dataset comes out at 0.0 meV/atom. The calculation puts the total energy at -6.68 eV per atom.

---

PuScAg | PBE-GGA | relaxed

Structure (POSCAR):
```
PuScAg
1.0
1.589 -8.430 0.000
1.589 8.430 0.000
0.000 0.000 5.047
Pu Sc Ag
2 2 2
direct
0.049 0.951 0.750
0.951 0.049 0.250
0.372 0.628 0.750
0.628 0.372 0.250
0.278 0.722 0.250
0.722 0.278 0.750
```

Values from the calculation:
The value obtained for the formation energy from the elements is 0.08 eV per atom. Its space-group type is No. 63. The energy above the most stable polymorph in this dataset comes out at 65.6 meV/atom. The calculation puts the total energy at -7.76 eV per atom.